*one*
Density functional theory data (GGA-PBE) for an optimized crystal structure of Cs2Se2F.

Calculated values
SG = I4/mmm, No. 139
total magnetization = 0.00 Bohr magnetons per cell
calculated volume = 154 Å³ per cell

Cell: 3.9835 3.9835 10.0862 Å, 78.61 78.61 90.00°
Last column: nearest neighbours and their distance in Å.
Positions (direct):
Cs: 0.4066 0.4066 0.1868  4 F 3.35, 1 Cs 3.62, 4 Se 3.63
Se: 0.7500 0.2500 0.5000  4 Se 2.82
F: 0.0000 0.0000 0.0000  8 Cs 3.35
Cs: 0.5934 0.5934 0.8132  4 F 3.35, 1 Cs 3.62, 4 Se 3.63
Se: 0.2500 0.7500 0.5000  4 Se 2.82

*two*
Density functional theory data (GGA-PBE) for an optimized crystal structure of Cs2Se2F.

Calculated values
SG = C2/m, No. 12
total magnetization = 0.00 Bohr magnetons per cell
calculated volume = 379 Å³ per cell

Cell: 5.0456 9.8099 10.6364 Å, 130.15 90.00 104.90°
Last column: nearest neighbours and their distance in Å.
Positions (direct):
Se: 0.9503 0.9007 0.3426  2 Se 2.52-2.53
Se: 0.0497 0.0993 0.6574  2 Se 2.52-2.53
Cs: 0.2790 0.5579 0.3668  3 F 3.10-3.15
F: 0.3468 0.6936 0.7246  5 Cs 2.93-3.15
Se: 0.7810 0.5619 0.0649  3 Se 2.53-2.74
Cs: 0.5469 0.0939 0.8914  2 F 2.93-3.12
Se: 0.2190 0.4381 0.9351  3 Se 2.53-2.74
F: 0.6532 0.3064 0.2754  5 Cs 2.93-3.15
Cs: 0.7210 0.4421 0.6332  3 F 3.10-3.15
Cs: 0.4531 0.9061 0.1086  2 F 2.93-3.12

*three*
Density functional theory data (GGA-PBE) for an optimized crystal structure of Cs2Se2F.

Calculated values
SG = P4/mbm, No. 127
total magnetization = 2.00 Bohr magnetons per cell
calculated volume = 401 Å³ per cell

Cell: 8.1898 8.1898 5.9712 Å, 90.00 90.00 90.00°
Last column: nearest neighbours and their distance in Å.
Positions (direct):
Se: 0.4008 0.0992 0.5000  1 Se 2.30
Se: 0.0992 0.5992 0.5000  1 Se 2.30
Se: 0.9008 0.4008 0.5000  1 Se 2.30
Se: 0.5992 0.9008 0.5000  1 Se 2.30
Cs: 0.8034 0.6966 0.0000  2 F 2.96
Cs: 0.3034 0.8034 0.0000  2 F 2.96
Cs: 0.1966 0.3034 0.0000  2 F 2.96
Cs: 0.6966 0.1966 0.0000  2 F 2.96
F: 0.5000 0.5000 0.0000  4 Cs 2.96
F: 0.0000 0.0000 0.0000  4 Cs 2.96

Consider the structures shown above. The most stable of them is *two*.